The following is a PBE-GGA calculation of HfNF4 after structural relaxation, from Alexandria.

Unit cell a=6.6067 b=7.9062 c=8.8731 alpha=105.12 beta=95.23 gamma=110.11
Space group P-1 (No. 2)
Inequivalent atoms, fractional coordinates:
Hf (0.2189, 0.2026, 0.1256) x2
Hf (0.2377, 0.7009, 0.0949) x2
N (0.2432, 0.0881, 0.6011) x2
N (0.2618, 0.6074, 0.6152) x2
F (0.0546, 0.0474, 0.8843) x2
F (0.0630, 0.7375, 0.8993) x2
F (0.0868, 0.4289, 0.8973) x2
F (0.2586, 0.2654, 0.3490) x2
F (0.2812, 0.7984, 0.3190) x2
F (0.3346, 0.4962, 0.1567) x2
F (0.3502, 0.9956, 0.1266) x2
F (0.4907, 0.2659, 0.0100) x2

The calculation puts the raw formation energy at -2241 meV per atom.